Record 1
As2Os: optimized geometry, PBE.

Lattice parameters (Å, degrees): 6.0304 6.0304 6.0304 90.00 90.00 90.00
Atoms (fractional coordinates):
As (0.6239, 0.8761, 0.8761)
As (0.6239, 0.6239, 0.3761)
As (0.1239, 0.6239, 0.1239)
As (0.8761, 0.3761, 0.8761)
As (0.3761, 0.3761, 0.6239)
As (0.8761, 0.1239, 0.3761)
As (0.1239, 0.8761, 0.6239)
As (0.3761, 0.1239, 0.1239)
Os (0.5000, 0.0000, 0.5000)
Os (0.5000, 0.5000, 0.0000)
Os (0.0000, 0.5000, 0.5000)
Os (0.0000, 0.0000, 0.0000)

**Fermi-level density of states**: 1.01 states/eV/atom
**Symmetry**: Pa-3, No. 205
**Raw total energy**: -6.68 eV per atom
**Magnetization**: 0.00 μB per formula unit
**Calculated volume**: 219.30 Å³ per cell

=====

Record 2
As2Os: optimized geometry, PBE.

Lattice parameters (Å, degrees): 7.6735 7.6735 6.9473 64.02 64.02 21.51
Atoms (fractional coordinates):
Os (0.8642, 0.8642, 0.5873)
Os (0.2517, 0.2517, 0.9844)
As (0.4797, 0.4797, 0.2906)
As (0.6496, 0.6496, 0.3084)
As (0.6826, 0.6826, 0.7774)
As (0.9056, 0.9056, 0.8852)

**Fermi-level density of states**: 0.49 states/eV/atom
**Symmetry**: Cm, No. 8
**Raw total energy**: -6.61 eV per atom
**Magnetization**: 0.00 μB per formula unit
**Calculated volume**: 134.25 Å³ per cell

=====

Record 3
AsOs2: optimized geometry, PBE.

Lattice parameters (Å, degrees): 4.5870 4.5870 4.5870 143.31 127.62 65.65
Atoms (fractional coordinates):
Os (0.3209, 0.3209, 0.0000)
Os (0.6791, 0.6791, 0.0000)
As (0.0000, 0.0000, 0.0000)

**Fermi-level density of states**: 0.81 states/eV/atom
**Symmetry**: Immm, No. 71
**Raw total energy**: -8.43 eV per atom
**Magnetization**: 0.00 μB per formula unit
**Calculated volume**: 45.06 Å³ per cell

=====

Record 4
As3Os: optimized geometry, PBE.

Lattice parameters (Å, degrees): 6.0400 6.1504 7.7321 90.00 90.00 90.00
Atoms (fractional coordinates):
As (0.8842, 0.0499, 0.2500)
As (0.1330, 0.3157, 0.0777)
As (0.6330, 0.1843, 0.9223)
As (0.1158, 0.9501, 0.7500)
As (0.8670, 0.6843, 0.9223)
As (0.6158, 0.5499, 0.2500)
As (0.8670, 0.6843, 0.5777)
As (0.3670, 0.8157, 0.4223)
As (0.6330, 0.1843, 0.5777)
As (0.1330, 0.3157, 0.4223)
As (0.3670, 0.8157, 0.0777)
As (0.3842, 0.4501, 0.7500)
Os (0.0097, 0.6699, 0.2500)
Os (0.5097, 0.8301, 0.7500)
Os (0.9903, 0.3301, 0.7500)
Os (0.4903, 0.1699, 0.2500)

**Fermi-level density of states**: 0.65 states/eV/atom
**Symmetry**: Pnma, No. 62
**Excess energy over the best structure of this formula in the dataset**: 0.001 eV per atom
**Magnetization**: 0.00 μB per formula unit
**Calculated volume**: 287.24 Å³ per cell

=====

> Look up the Fermi-level density of states of the fourth one.

0.65 states/eV/atom